No. 1
A geometry-optimized IrWI2 structure, computed with PBE.

Results
- Total moment: 0.0 μB per formula unit
- Energy: -38.177 eV per cell
- Energy above the most stable polymorph in this dataset: 0.00 eV per formula unit
- SG: I-42d, No. 122

```
IrWI2
1.0
-3.051 3.051 5.859
3.051 -3.051 5.859
3.051 3.051 -5.859
Ir W I
2 2 4
Direct
0.000 0.000 0.000
0.750 0.250 0.500
0.250 0.750 0.500
0.500 0.500 0.000
0.121 0.625 0.996
0.375 0.371 0.496
0.629 0.125 0.004
0.875 0.879 0.504
```

=====

No. 2
A geometry-optimized SmHgAu structure, computed with PBE.

Results
- Total moment: 0.0 μB per formula unit
- Energy: -10.064 eV per cell
- ΔE_f: -588 meV per atom
- SG: I4mm, No. 107

```
SmHgAu
1.0
-1.952 1.952 4.729
1.952 -1.952 4.729
1.952 1.952 -4.729
Sm Hg Au
1 1 1
Direct
0.000 0.000 0.000
0.325 0.325 0.000
0.660 0.660 0.000
```

=====

No. 3
A geometry-optimized ReBiRh3 structure, computed with PBE.

Results
- Total moment: 0.5 μB per formula unit
- Energy: -27.192 eV per cell
- ΔE_f: 2238 meV per atom
- Energy above the most stable polymorph in this dataset: 6.60 eV per formula unit
- SG: Pm-3m, No. 221

```
ReBiRh3
1.0
4.841 0.000 0.000
0.000 4.841 0.000
0.000 0.000 4.841
Re Bi Rh
1 1 3
Direct
0.000 0.000 0.000
0.500 0.500 0.500
0.000 0.500 0.500
0.500 0.000 0.500
0.500 0.500 0.000
```

=====

No. 4
A geometry-optimized Tb5Dy2Th2 structure, computed with PBE.

Results
- Total moment: 0.0 μB per formula unit
- Energy: -89.997 eV per cell
- ΔE_f: 244 meV per atom
- Energy above the most stable polymorph in this dataset: 0.00 eV per formula unit
- SG: Ima2, No. 46

```
Tb5Dy2Th2
1.0
-7.414 5.949 3.313
7.414 -5.949 3.313
7.414 5.949 -3.313
Tb Dy Th
10 4 4
Direct
0.243 0.054 0.297
0.243 0.446 0.689
0.421 0.443 0.478
0.465 0.046 0.132
0.465 0.832 0.918
0.757 0.554 0.311
0.757 0.946 0.703
0.914 0.332 0.868
0.914 0.546 0.082
0.965 0.943 0.522
0.331 0.460 0.121
0.331 0.711 0.372
0.339 0.211 0.879
0.339 0.960 0.628
0.803 0.303 0.500
0.803 0.803 0.000
0.861 0.613 0.748
0.866 0.113 0.252
```

=====

No. 5
A geometry-optimized BeZn2Ag structure, computed with PBE.

Results
- Total moment: 0.0 μB per formula unit
- Energy: -8.541 eV per cell
- ΔE_f: 146 meV per atom
- SG: I4/mmm, No. 139

```
BeZn2Ag
1.0
-1.867 1.867 3.969
1.867 -1.867 3.969
1.867 1.867 -3.969
Be Zn Ag
1 2 1
Direct
0.000 0.000 0.000
0.250 0.750 0.500
0.750 0.250 0.500
0.500 0.500 0.000
```

=====

No. 6
A geometry-optimized NdPH2Rh structure, computed with PBE.

Results
- Total moment: 0.0 μB per formula unit
- Energy: -55.619 eV per cell
- SG: Cmcm, No. 63

```
NdPH2Rh
1.0
1.876 -5.124 0.000
1.876 5.124 0.000
0.000 0.000 6.689
Nd P H Rh
2 2 4 2
Direct
0.222 0.778 0.750
0.778 0.222 0.250
0.055 0.945 0.250
0.945 0.055 0.750
0.336 0.664 0.055
0.336 0.664 0.445
0.664 0.336 0.555
0.664 0.336 0.945
0.500 0.500 0.000
0.500 0.500 0.500
```

=====

No. 7
A geometry-optimized MnFe4Rh structure, computed with PBE.

Results
- Total moment: 5.5 μB per formula unit
- Energy: -50.223 eV per cell
- ΔE_f: 25 meV per atom
- SG: F-43m, No. 216

```
MnFe4Rh
1.0
0.000 3.327 3.327
3.327 0.000 3.327
3.327 3.327 0.000
Mn Fe Rh
1 4 1
Direct
0.000 0.000 0.000
0.375 0.375 0.375
0.375 0.375 0.875
0.375 0.875 0.375
0.875 0.375 0.375
0.750 0.750 0.750
```

=====

No. 8
A geometry-optimized NaCrAu3 structure, computed with PBE.

Results
- Total moment: 0.0 μB per formula unit
- Energy: -18.027 eV per cell
- ΔE_f: 549 meV per atom
- Energy above the most stable polymorph in this dataset: 0.00 eV per formula unit
- SG: Pm-3m, No. 221

```
NaCrAu3
1.0
4.907 0.000 0.000
0.000 4.907 0.000
0.000 0.000 4.907
Na Cr Au
1 1 3
Direct
0.000 0.000 0.000
0.500 0.500 0.500
0.000 0.500 0.500
0.500 0.000 0.500
0.500 0.500 0.000
```

=====

No. 9
A geometry-optimized MnNi2Ru structure, computed with PBE.

Results
- Total moment: 1.5 μB per formula unit
- Energy: -29.937 eV per cell
- ΔE_f: 18 meV per atom
- SG: I-4m2, No. 119

```
MnNi2Ru
1.0
-1.813 1.813 3.635
1.813 -1.813 3.635
1.813 1.813 -3.635
Mn Ni Ru
1 2 1
Direct
0.000 0.000 0.000
0.250 0.750 0.500
0.500 0.500 0.000
0.750 0.250 0.500
```

=====

No. 10
A geometry-optimized DyEr4Au2 structure, computed with PBE.

Results
- Total moment: 0.0 μB per formula unit
- Energy: -31.329 eV per cell
- ΔE_f: -274 meV per atom
- SG: R-3m, No. 166

```
DyEr4Au2
1.0
2.446 1.412 10.015
-2.446 1.412 10.015
0.000 -2.825 10.015
Dy Er Au
1 4 2
Direct
0.000 0.000 0.000
0.201 0.201 0.201
0.399 0.399 0.399
0.601 0.601 0.601
0.799 0.799 0.799
0.101 0.101 0.101
0.899 0.899 0.899
```

=====

No. 11
A geometry-optimized Li3InPd structure, computed with PBE.

Results
- Total moment: 0.0 μB per formula unit
- Energy: -61.815 eV per cell
- ΔE_f: -356 meV per atom
- Energy above the most stable polymorph in this dataset: 0.00 eV per formula unit
- SG: P2_1/c, No. 14

```
Li3InPd
1.0
5.995 0.000 0.000
0.000 8.471 0.000
-5.606 0.000 6.550
Li In Pd
12 4 4
Direct
0.016 0.122 0.266
0.016 0.378 0.766
0.208 0.638 0.641
0.208 0.862 0.141
0.368 0.621 0.043
0.368 0.879 0.543
0.632 0.121 0.457
0.632 0.379 0.957
0.792 0.138 0.859
0.792 0.362 0.359
0.984 0.622 0.234
0.984 0.878 0.734
0.385 0.135 0.049
0.385 0.365 0.549
0.615 0.635 0.451
0.615 0.865 0.951
0.221 0.117 0.665
0.221 0.383 0.165
0.779 0.617 0.835
0.779 0.883 0.335
```

=====

No. 12
A geometry-optimized CeEr5Tm3 structure, computed with PBE.

Results
- Total moment: 1.2 μB per formula unit
- Energy: -78.895 eV per cell
- ΔE_f: 302 meV per atom
- SG: I4/mcm, No. 140

```
CeEr5Tm3
1.0
-4.223 4.223 7.722
4.223 -4.223 7.722
4.223 4.223 -7.722
Ce Er Tm
2 10 6
Direct
0.250 0.750 0.500
0.750 0.250 0.500
0.000 0.000 0.000
0.057 0.557 0.892
0.165 0.057 0.500
0.335 0.835 0.892
0.443 0.335 0.500
0.500 0.500 0.000
0.557 0.665 0.500
0.665 0.165 0.108
0.835 0.943 0.500
0.943 0.443 0.108
0.122 0.378 0.500
0.250 0.250 0.000
0.378 0.878 0.255
0.622 0.122 0.745
0.750 0.750 0.000
0.878 0.622 0.500
```